No. 1
Computed, not measured: a relaxed structure of HoAl10Re2 at the PBE-GGA level of DFT.

Cell lengths 6.9164, 6.9164, 9.1842 Å; angles 90.00, 90.00, 96.81 degrees
Closest atoms and distances in Å follow each position.
Fractional coordinates of all 26 atoms:
1 Ho 0.1301 0.8699 0.7500  14 Al 3.13-3.37, 4 Re 3.48
2 Ho 0.8699 0.1301 0.2500  14 Al 3.13-3.37, 4 Re 3.48
3 Al 0.1420 0.4088 0.7500  2 Re 2.60, 8 Al 2.67-2.90
4 Al 0.1495 0.8505 0.0961  6 Al 2.64-2.90, 2 Re 2.67
5 Al 0.1495 0.8505 0.4039  6 Al 2.64-2.90, 2 Re 2.67
6 Al 0.2106 0.4705 0.2500  5 Al 2.67-2.93, 2 Re 2.74
7 Al 0.2258 0.2258 0.0000  2 Re 2.60, 8 Al 2.72-2.86
8 Al 0.2258 0.2258 0.5000  2 Re 2.60, 8 Al 2.72-2.86
9 Al 0.3755 0.6245 0.5363  6 Al 2.64-2.85, 2 Re 2.66
10 Al 0.3755 0.6245 0.9637  6 Al 2.64-2.85, 2 Re 2.66
11 Al 0.4088 0.1420 0.2500  2 Re 2.60, 8 Al 2.67-2.90
12 Al 0.4705 0.2106 0.7500  5 Al 2.67-2.93, 2 Re 2.74
13 Al 0.5295 0.7894 0.2500  5 Al 2.67-2.93, 2 Re 2.74
14 Al 0.5912 0.8580 0.7500  2 Re 2.60, 8 Al 2.67-2.90
15 Al 0.6245 0.3755 0.0363  6 Al 2.64-2.85, 2 Re 2.66
16 Al 0.6245 0.3755 0.4637  6 Al 2.64-2.85, 2 Re 2.66
17 Al 0.7742 0.7742 0.0000  2 Re 2.60, 8 Al 2.72-2.86
18 Al 0.7742 0.7742 0.5000  2 Re 2.60, 8 Al 2.72-2.86
19 Al 0.7894 0.5295 0.7500  5 Al 2.67-2.93, 2 Re 2.74
20 Al 0.8505 0.1495 0.5961  6 Al 2.64-2.90, 2 Re 2.67
21 Al 0.8505 0.1495 0.9039  6 Al 2.64-2.90, 2 Re 2.67
22 Al 0.8580 0.5912 0.2500  2 Re 2.60, 8 Al 2.67-2.90
23 Re 0.0000 0.5000 0.0000  10 Al 2.60-2.74
24 Re 0.0000 0.5000 0.5000  10 Al 2.60-2.74
25 Re 0.5000 0.0000 0.0000  10 Al 2.60-2.74
26 Re 0.5000 0.0000 0.5000  10 Al 2.60-2.74

Calculated values
VASP energy: -71.35 eV/f.u.
Energy of formation: -0.342 eV/atom
Energy above the lowest structure with this stoichiometry: 0.011 eV per atom
Volume: 436.24 Å³/cell
Magnetization: 0.00 Bohr magnetons per cell

=====

No. 2
Computed, not measured: a relaxed structure of SiPbSe2Br at the PBE-GGA level of DFT.

Cell lengths 5.4922, 5.4922, 5.5244 Å; angles 90.00, 90.00, 90.00 degrees
Closest atoms and distances in Å follow each position.
Fractional coordinates of all 5 atoms:
1 Si 0.0000 0.0000 0.0000  4 Br 3.88, 8 Se 3.89
2 Pb 0.5000 0.5000 0.5000  4 Se 2.75, 2 Br 2.76
3 Se 0.0000 0.5000 0.5000  2 Pb 2.75
4 Se 0.5000 0.0000 0.5000  2 Pb 2.75
5 Br 0.5000 0.5000 0.0000  2 Pb 2.76

Calculated values
VASP energy: -14.58 eV/f.u.
Formation energy (no corrections): 0.6386 eV per atom
Energy above the lowest structure with this stoichiometry: 0.774 eV per atom
Volume: 166.64 Å³/cell
Magnetization: 0.00 Bohr magnetons per cell

=====

No. 3
Computed, not measured: a relaxed structure of Cs2KRb at the PBE-GGA level of DFT.

Cell lengths 10.6789, 10.6789, 10.6789 Å; angles 152.98, 132.14, 55.82 degrees
Closest atoms and distances in Å follow each position.
Fractional coordinates of all 4 atoms:
1 Cs 0.2435 0.2435 0.0000  1 K 4.59, 1 Rb 4.84, 6 Cs 4.99-5.00
2 Cs 0.7565 0.7565 0.0000  1 K 4.59, 1 Rb 4.84, 6 Cs 4.99-5.00
3 K 0.0000 0.0000 0.0000  2 Cs 4.59, 2 K 4.99, 4 Rb 5.00
4 Rb 0.5000 0.5000 0.0000  2 Cs 4.84, 2 Rb 4.99, 4 K 5.00

Calculated values
VASP energy: -3.49 eV/f.u.
Energy of formation: 0.069 eV/atom
Energy above the lowest structure with this stoichiometry: 0.067 eV per atom
Volume: 407.89 Å³/cell
Magnetization: 0.00 Bohr magnetons per cell

=====

No. 4
Computed, not measured: a relaxed structure of BeTcIr at the PBE-GGA level of DFT.

Cell lengths 5.2026, 5.2026, 6.4598 Å; angles 125.12, 125.12, 31.49 degrees
Closest atoms and distances in Å follow each position.
Fractional coordinates of all 6 atoms:
1 Be 0.0000 0.0000 0.0000  1 Be 2.12, 3 Ir 2.26-2.30, 2 Tc 2.37
2 Be 0.2369 0.2369 0.3651  1 Be 2.12, 1 Tc 2.32, 2 Ir 2.32
3 Tc 0.2645 0.2645 0.7478  3 Be 2.32-2.37
4 Tc 0.7206 0.7206 0.0544  4 Be 2.38-2.46
5 Ir 0.5204 0.5204 0.2994  4 Be 2.30-2.40
6 Ir 0.9637 0.9637 0.6190  3 Be 2.26-2.32

Calculated values
VASP energy: -23.68 eV/f.u.
Energy of formation: -0.244 eV/atom
Energy above the lowest structure with this stoichiometry: 0.123 eV per atom
Volume: 73.22 Å³/cell
Magnetization: 0.00 Bohr magnetons per cell

=====

No. 5
Computed, not measured: a relaxed structure of NdYScAl at the PBE-GGA level of DFT.

Cell lengths 5.3068, 5.3068, 5.3068 Å; angles 60.00, 60.00, 60.00 degrees
Closest atoms and distances in Å follow each position.
Fractional coordinates of all 4 atoms:
1 Nd 0.0000 0.0000 0.0000  4 Al 3.25, 4 Sc 3.25
2 Y 0.5000 0.5000 0.5000  4 Sc 3.25, 4 Al 3.25
3 Sc 0.7500 0.7500 0.7500  4 Nd 3.25, 4 Y 3.25
4 Al 0.2500 0.2500 0.2500  4 Nd 3.25, 4 Y 3.25

Calculated values
VASP energy: -21.74 eV/f.u.
Energy of formation: -0.108 eV/atom
Volume: 105.68 Å³/cell
Magnetization: 1.00 Bohr magnetons per cell

=====

No. 6
Computed, not measured: a relaxed structure of Nb5Pt3Rh3 at the PBE-GGA level of DFT.

Cell lengths 9.0130, 9.0130, 2.7620 Å; angles 90.00, 90.00, 120.00 degrees
Closest atoms and distances in Å follow each position.
Fractional coordinates of all 11 atoms:
1 Nb 0.0000 0.6816 0.0000  2 Rh 2.49, 2 Pt 2.68, 2 Nb 2.76
2 Nb 0.3184 0.3184 0.0000  2 Rh 2.49, 2 Pt 2.68, 2 Nb 2.76
3 Nb 0.3333 0.6667 0.0000  5 Nb 2.76-3.07, 6 Pt 3.02
4 Nb 0.6667 0.3333 0.0000  5 Nb 2.76-3.07, 6 Pt 3.02
5 Nb 0.6816 0.0000 0.0000  2 Rh 2.49, 2 Pt 2.68, 2 Nb 2.76
6 Pt 0.0000 0.4263 0.5000  2 Nb 2.68, 2 Rh 2.70, 2 Pt 2.76
7 Pt 0.4263 0.0000 0.5000  2 Nb 2.68, 2 Rh 2.70, 2 Pt 2.76
8 Pt 0.5737 0.5737 0.5000  2 Nb 2.68, 2 Rh 2.70, 2 Pt 2.76
9 Rh 0.0000 0.1686 0.0000  2 Nb 2.49, 4 Rh 2.63-2.76, 2 Pt 2.70
10 Rh 0.1686 0.0000 0.0000  2 Nb 2.49, 4 Rh 2.63-2.76, 2 Pt 2.70
11 Rh 0.8314 0.8314 0.0000  2 Nb 2.49, 4 Rh 2.63-2.76, 2 Pt 2.70

Calculated values
VASP energy: -89.10 eV/f.u.
Energy of formation: 0.129 eV/atom
Volume: 194.31 Å³/cell
Magnetization: 0.08 Bohr magnetons per cell

=====

No. 7
Computed, not measured: a relaxed structure of YZn6Rh2 at the PBE-GGA level of DFT.

Cell lengths 7.4699, 7.4699, 7.4699 Å; angles 154.92, 122.52, 63.69 degrees
Closest atoms and distances in Å follow each position.
Fractional coordinates of all 9 atoms:
1 Y 0.0000 0.0000 0.0000  12 Zn 2.91-3.10, 2 Y 3.24
2 Zn 0.0097 0.3209 0.6888  4 Zn 2.51-2.71, 3 Rh 2.64-2.80
3 Zn 0.3361 0.5000 0.8361  3 Zn 2.35-2.51
4 Zn 0.3678 0.6791 0.6888  4 Zn 2.51-2.71, 3 Rh 2.64-2.80
5 Zn 0.6322 0.3209 0.3112  4 Zn 2.51-2.71, 3 Rh 2.64-2.80
6 Zn 0.6639 0.5000 0.1639  3 Zn 2.35-2.51
7 Zn 0.9903 0.6791 0.3112  4 Zn 2.51-2.71, 3 Rh 2.64-2.80
8 Rh 0.3572 0.8572 0.5000  10 Zn 2.64-2.80
9 Rh 0.6428 0.1428 0.5000  10 Zn 2.64-2.80

Calculated values
VASP energy: -30.92 eV/f.u.
Energy of formation: -0.235 eV/atom
Volume: 147.88 Å³/cell
Magnetization: 0.00 Bohr magnetons per cell

=====

No. 8
Computed, not measured: a relaxed structure of Rh3Au at the PBE-GGA level of DFT.

Cell lengths 5.3344, 5.3344, 5.3344 Å; angles 149.69, 62.40, 126.87 degrees
Closest atoms and distances in Å follow each position.
Fractional coordinates of all 4 atoms:
1 Rh 0.0000 0.0000 0.0000  8 Rh 2.71-2.89, 4 Au 2.76-2.77
2 Rh 0.3904 0.6479 0.7426  9 Rh 2.71-2.89, 3 Au 2.78-2.82
3 Rh 0.9053 0.6479 0.2574  9 Rh 2.71-2.89, 3 Au 2.78-2.82
4 Au 0.5016 0.0016 0.5000  10 Rh 2.76-2.82, 2 Au 2.79

Calculated values
VASP energy: -24.53 eV/f.u.
Energy of formation: 0.200 eV/atom
Volume: 60.73 Å³/cell
Magnetization: 0.00 Bohr magnetons per cell

=====

No. 9
Computed, not measured: a relaxed structure of Pu4SbTeSe2 at the PBE-GGA level of DFT.

Cell lengths 7.4287, 4.2793, 7.4534 Å; angles 90.00, 109.81, 90.00 degrees
Closest atoms and distances in Å follow each position.
Fractional coordinates of all 8 atoms:
1 Pu 0.2405 0.0000 0.2314  3 Se 2.94-2.99, 1 Sb 3.10, 2 Te 3.11
2 Pu 0.2563 0.5000 0.7685  3 Se 2.95-2.97, 2 Sb 3.10, 1 Te 3.12
3 Pu 0.7437 0.5000 0.2315  3 Se 2.95-2.97, 2 Sb 3.10, 1 Te 3.12
4 Pu 0.7595 0.0000 0.7686  3 Se 2.94-2.99, 1 Sb 3.10, 2 Te 3.11
5 Sb 0.0000 0.0000 0.5000  6 Pu 3.10
6 Te 0.5000 0.5000 0.5000  6 Pu 3.11-3.12
7 Se 0.0000 0.5000 0.0000  6 Pu 2.94-2.97
8 Se 0.5000 0.0000 0.0000  6 Pu 2.95-2.99

Calculated values
VASP energy: -80.71 eV/f.u.
Formation energy (no corrections): -1.1434 eV per atom
Volume: 222.92 Å³/cell
Magnetization: 0.13 Bohr magnetons per cell

=====

No. 10
Computed, not measured: a relaxed structure of Rb2NaAu at the PBE-GGA level of DFT.

Cell lengths 9.3751, 9.3751, 9.3751 Å; angles 95.54, 95.54, 143.79 degrees
Closest atoms and distances in Å follow each position.
Fractional coordinates of all 8 atoms:
1 Rb 0.3750 0.2220 0.3470  2 Au 3.46
2 Rb 0.7780 0.1250 0.1530  2 Au 3.46
3 Rb 0.8750 0.0280 0.6530  2 Au 3.46
4 Rb 0.9720 0.6250 0.8470  2 Au 3.46
5 Na 0.2500 0.7500 0.5000  2 Au 2.91
6 Na 0.5000 0.5000 0.0000  2 Au 2.91
7 Au 0.0000 0.0000 0.0000  2 Na 2.91
8 Au 0.7500 0.2500 0.5000  2 Na 2.91

Calculated values
VASP energy: -6.94 eV/f.u.
Energy of formation: -0.103 eV/atom
Energy above the lowest structure with this stoichiometry: 0.053 eV per atom
Volume: 462.66 Å³/cell
Magnetization: 0.00 Bohr magnetons per cell

=====

No. 11
Computed, not measured: a relaxed structure of TaCo2AsSe at the PBE-GGA level of DFT.

Cell lengths 4.3170, 4.3170, 4.9290 Å; angles 90.00, 90.00, 90.00 degrees
Closest atoms and distances in Å follow each position.
Fractional coordinates of all 5 atoms:
1 Ta 0.0000 0.0000 0.0000  2 As 2.46
2 Co 0.0000 0.5000 0.5000  2 As 2.16
3 Co 0.5000 0.0000 0.5000  2 As 2.16
4 As 0.0000 0.0000 0.5000  4 Co 2.16
5 Se 0.5000 0.5000 0.0000  4 Ta 3.05, 8 Co 3.28

Calculated values
VASP energy: -30.53 eV/f.u.
Formation energy (no corrections): 0.7343 eV per atom
Volume: 91.86 Å³/cell
Magnetization: 2.52 Bohr magnetons per cell

=====

No. 12
Computed, not measured: a relaxed structure of SmSc2Sb2 at the PBE-GGA level of DFT.

Cell lengths 7.5836, 7.5836, 6.0377 Å; angles 110.85, 110.85, 99.70 degrees
Closest atoms and distances in Å follow each position.
Fractional coordinates of all 10 atoms:
1 Sm 0.1027 0.8973 0.7500  4 Sb 3.15-3.28, 2 Sc 3.53
2 Sm 0.8973 0.1027 0.2500  4 Sb 3.15-3.28, 2 Sc 3.53
3 Sc 0.2293 0.4225 0.0153  4 Sb 2.83-2.99, 1 Sc 2.99
4 Sc 0.4225 0.2293 0.5153  4 Sb 2.83-2.99, 1 Sc 2.99
5 Sc 0.5775 0.7707 0.4847  4 Sb 2.83-2.99, 1 Sc 2.99
6 Sc 0.7707 0.5775 0.9847  4 Sb 2.83-2.99, 1 Sc 2.99
7 Sb 0.1802 0.8198 0.2500  4 Sc 2.83-2.99, 2 Sm 3.15
8 Sb 0.3786 0.6214 0.7500  4 Sc 2.92-2.94, 1 Sm 3.20
9 Sb 0.6214 0.3786 0.2500  4 Sc 2.92-2.94, 1 Sm 3.20
10 Sb 0.8198 0.1802 0.7500  4 Sc 2.83-2.99, 2 Sm 3.15

Calculated values
VASP energy: -28.75 eV/f.u.
Formation energy (no corrections): -0.6245 eV per atom
Volume: 285.37 Å³/cell
Magnetization: 1.19 Bohr magnetons per cell